Entry from Alexandria via LeMat-Bulk: crystalline BiRhSe2 at its relaxed geometry (GGA-PBE).

a b c (Å): 9.847 3.744 5.426
angles (deg): 90.07 97.09 101.10
Element x y z (fractional)
Rh: 0.888 0.163 0.535
Rh: 0.534 0.484 0.439
Bi: 0.659 0.048 0.794
Bi: 0.144 0.786 0.407
Se: 0.330 0.381 0.665
Se: 0.446 0.939 0.170
Se: 0.769 0.603 0.284
Se: 0.992 0.717 0.803

- calculated density (g/cm3) = 8.0
- crystal system = triclinic
- magnetization (μB per formula unit) = 0.00
- energy relative to the elements, uncorrected (eV per atom) = -0.286

***

Entry from Alexandria via LeMat-Bulk: crystalline HfNp2B2Ru5 at its relaxed geometry (GGA-PBE).

a b c (Å): 3.102 9.797 9.797
angles (deg): 90.00 90.00 90.00
Last column: magnetic moment on the atom in μB.
Element x y z (fractional)
Hf: 0.000 0.000 0.000  0.02
Hf: 0.000 0.500 0.500  0.02
Np: 0.000 0.677 0.177  3.15
Np: 0.000 0.323 0.823  3.15
Np: 0.000 0.177 0.323  3.15
Np: 0.000 0.823 0.677  3.15
B: 0.000 0.120 0.620  -0.01
B: 0.000 0.880 0.380  -0.01
B: 0.000 0.620 0.880  -0.01
B: 0.000 0.380 0.120  -0.01
Ru: 0.500 0.223 0.070  -0.23
Ru: 0.500 0.777 0.930  -0.23
Ru: 0.500 0.070 0.777  -0.23
Ru: 0.500 0.723 0.430  -0.23
Ru: 0.500 0.930 0.223  -0.23
Ru: 0.500 0.277 0.570  -0.23
Ru: 0.500 0.570 0.723  -0.23
Ru: 0.500 0.430 0.277  -0.23
Ru: 0.500 0.500 0.000  -0.18
Ru: 0.500 0.000 0.500  -0.18

- formation energy (eV/f.u.) = -3.899
- calculated density (g/cm3) = 13.2
- crystal system = tetragonal
- magnetization (μB per formula unit) = 5.42

***

Entry from Alexandria via LeMat-Bulk: crystalline La3Ga2Co2 at its relaxed geometry (GGA-PBE).

a b c (Å): 4.418 4.237 9.442
angles (deg): 102.97 103.53 90.00
Last column: magnetic moment on the atom in μB.
Element x y z (fractional)
La: 0.000 0.000 0.000  -0.04
La: 0.674 0.174 0.348  -0.05
La: 0.326 0.826 0.652  -0.05
Ga: 0.132 0.632 0.264  -0.01
Ga: 0.868 0.368 0.736  -0.01
Co: 0.564 0.564 0.128  0.50
Co: 0.436 0.436 0.872  0.50

- formation energy (eV/f.u.) = -2.631
- calculated density (g/cm3) = 6.7
- crystal system = orthorhombic
- magnetization (μB per formula unit) = 0.66

***

Entry from Alexandria via LeMat-Bulk: crystalline Er7Al2Pt2 at its relaxed geometry (GGA-PBE).

a b c (Å): 6.716 6.948 6.716
angles (deg): 90.00 107.04 90.00
Element x y z (fractional)
Er: 0.000 0.260 0.500
Er: 0.500 0.740 0.000
Er: 0.000 0.740 0.500
Er: 0.500 0.260 0.000
Er: 0.000 0.000 0.000
Er: 0.500 0.746 0.500
Er: 0.500 0.254 0.500
Al: 0.833 0.500 0.833
Al: 0.167 0.500 0.167
Pt: 0.711 0.000 0.289
Pt: 0.289 0.000 0.711

- formation energy (eV/f.u.) = -5.529
- calculated density (g/cm3) = 8.9
- crystal system = orthorhombic
- magnetization (μB per formula unit) = 0.00